Entry from Alexandria: a geometry-optimized Mg2PSe structure (PBE).

Structure (CIF):
```
data_Mg2PSe
_space_group_name_H-M_alt 'I m m m'
_space_group_IT_number 71
_space_group_name_Hall '-I 2 2'
_cell_length_a 3.899
_cell_length_b 5.835
_cell_length_c 7.244
_cell_angle_alpha 90.00
_cell_angle_beta 90.00
_cell_angle_gamma 90.00
loop_
_atom_site_label
_atom_site_fract_x
_atom_site_fract_y
_atom_site_fract_z
Mg1 0.000 0.000 0.234
P1 0.000 0.500 0.500
Se1 0.000 0.500 0.000
```

Properties
The value obtained for the uncorrected formation energy is -1.595 eV/f.u. The value obtained for the total energy is -0.2513 Ry/atom. As for the crystal system: orthorhombic. Its density of states at the Fermi level is 1.95 states/eV/f.u.


Entry from Alexandria: a geometry-optimized MgP2Se structure (PBE).

Structure (CIF):
```
data_MgP2Se
_space_group_name_H-M_alt 'P 1 m 1'
_space_group_IT_number 6
_space_group_name_Hall 'P -2y'
_cell_length_a 4.056
_cell_length_b 3.629
_cell_length_c 5.385
_cell_angle_alpha 90.00
_cell_angle_beta 92.99
_cell_angle_gamma 90.00
loop_
_atom_site_label
_atom_site_fract_x
_atom_site_fract_y
_atom_site_fract_z
Mg1 0.000 0.000 0.000
P1 0.055 0.000 0.495
P2 0.409 0.500 0.528
Se1 0.508 0.500 0.966
```

Properties
The value obtained for the uncorrected formation energy is -1.660 eV/f.u. The value obtained for the total energy is -0.3226 Ry/atom. As for the crystal system: monoclinic. Its polymorph energy (0 for the lowest one) is 0 meV/atom.


Entry from Alexandria: a geometry-optimized MgPSe structure (PBE).

Structure (CIF):
```
data_MgPSe
_space_group_name_H-M_alt 'F -4 3 m'
_space_group_IT_number 216
_space_group_name_Hall 'F -4 2 3'
_cell_length_a 6.337
_cell_length_b 6.337
_cell_length_c 6.337
_cell_angle_alpha 90.00
_cell_angle_beta 90.00
_cell_angle_gamma 90.00
loop_
_atom_site_label
_atom_site_fract_x
_atom_site_fract_y
_atom_site_fract_z
Mg1 0.000 0.000 0.000
P1 0.250 0.250 0.250
Se1 0.250 0.250 0.750
```

Properties
The value obtained for the uncorrected formation energy is -0.117 eV/f.u. The value obtained for the total energy is -0.2598 Ry/atom. As for the crystal system: cubic. Its polymorph energy (0 for the lowest one) is 218 meV/atom. Its density of states at the Fermi level is 1.91 states/eV/f.u.


Entry from Alexandria: a geometry-optimized Mg2PSe structure (PBE).

Structure (CIF):
```
data_Mg2PSe
_space_group_name_H-M_alt 'R -3 m'
_space_group_IT_number 166
_space_group_name_Hall '-R 3 2"'
_cell_length_a 3.7092
_cell_length_b 3.7092
_cell_length_c 20.0659
_cell_angle_alpha 90.00
_cell_angle_beta 90.00
_cell_angle_gamma 120.00
loop_
_atom_site_label
_atom_site_fract_x
_atom_site_fract_y
_atom_site_fract_z
Mg1 0.0000 0.0000 0.2489
P1 0.0000 0.0000 0.0000
Se1 0.0000 0.0000 0.5000
```

Properties
The value obtained for the uncorrected formation energy is -2.806 eV/f.u. The value obtained for the total energy is -0.2736 Ry/atom. As for the crystal system: trigonal. Its density of states at the Fermi level is 1.48 states/eV/f.u.


Entry from Alexandria: a geometry-optimized MgP2Se structure (PBE).

Structure (CIF):
```
data_MgP2Se
_space_group_name_H-M_alt 'I 4/m m m'
_space_group_IT_number 139
_space_group_name_Hall '-I 4 2'
_cell_length_a 3.483
_cell_length_b 3.483
_cell_length_c 19.330
_cell_angle_alpha 90.00
_cell_angle_beta 90.00
_cell_angle_gamma 90.00
loop_
_atom_site_label
_atom_site_fract_x
_atom_site_fract_y
_atom_site_fract_z
Mg1 0.000 0.000 0.000
P1 0.000 0.500 0.250
Se1 0.000 0.000 0.500
```

Properties
The value obtained for the uncorrected formation energy is -0.060 eV/f.u. The value obtained for the total energy is -0.2932 Ry/atom. As for the crystal system: tetragonal. Its polymorph energy (0 for the lowest one) is 400 meV/atom. Its density of states at the Fermi level is 2.45 states/eV/f.u.


Entry from Alexandria: a geometry-optimized MgPSe structure (PBE).

Structure (CIF):
```
data_MgPSe
_space_group_name_H-M_alt 'F m m 2'
_space_group_IT_number 42
_space_group_name_Hall 'F 2 -2'
_cell_length_a 4.000
_cell_length_b 4.225
_cell_length_c 15.321
_cell_angle_alpha 90.00
_cell_angle_beta 90.00
_cell_angle_gamma 90.00
loop_
_atom_site_label
_atom_site_fract_x
_atom_site_fract_y
_atom_site_fract_z
Mg1 0.000 0.000 0.000
P1 0.000 0.000 0.621
Se1 0.000 0.000 0.369
```

Properties
The value obtained for the uncorrected formation energy is -0.072 eV/f.u. The value obtained for the total energy is -0.2587 Ry/atom. As for the crystal system: orthorhombic. Its polymorph energy (0 for the lowest one) is 233 meV/atom. Its density of states at the Fermi level is 1.23 states/eV/f.u.